[1]
! PBE CrHgB3, optimized geometry; values from VASP
! D(E_F) ... 1.9 states/eV per cell
! Mass density ... 7.5 g/cm3
! Calculated volume ... 63 Å³/cell
! Crystal system ... cubic
! M_tot ... 0.000 μB per formula unit
! Energy above the most stable polymorph in this dataset ... 0 meV/atom
! Symmetry ... Pm-3m
! Energy of formation from the pure elements ... 1.300 eV/atom
&SYSTEM
  ibrav = 0, nat = 5, ntyp = 3
/
ATOMIC_SPECIES
Cr 52.00 Cr.upf
Hg 200.59 Hg.upf
B 10.81 B.upf
CELL_PARAMETERS angstrom
3.989 0.000 0.000
0.000 3.989 0.000
0.000 0.000 3.989
ATOMIC_POSITIONS crystal
Cr 0.000 0.000 0.000
Hg 0.500 0.500 0.500
B 0.000 0.000 0.500
B 0.000 0.500 0.000
B 0.500 0.000 0.000

=====

[2]
! PBE CrHgB3, optimized geometry; values from VASP
! D(E_F) ... 6.6 states/eV per cell
! Mass density ... 6.2 g/cm3
! Calculated volume ... 76 Å³/cell
! Crystal system ... cubic
! M_tot ... 0.008 μB per formula unit
! Energy above the most stable polymorph in this dataset ... 1534 meV/atom
! Symmetry ... Pm-3m
! Energy of formation from the pure elements ... 2.835 eV/atom
&SYSTEM
  ibrav = 0, nat = 5, ntyp = 3
/
ATOMIC_SPECIES
Cr 52.00 Cr.upf
Hg 200.59 Hg.upf
B 10.81 B.upf
CELL_PARAMETERS angstrom
4.243 0.000 0.000
0.000 4.243 0.000
0.000 0.000 4.243
ATOMIC_POSITIONS crystal
Cr 0.000 0.000 0.000
Hg 0.500 0.500 0.500
B 0.000 0.500 0.500
B 0.500 0.000 0.500
B 0.500 0.500 0.000

=====

[3]
! PBE CrHg2B, optimized geometry; values from VASP
! D(E_F) ... 23.1 states/eV per cell
! Mass density ... 11.1 g/cm3
! Calculated volume ... 279 Å³/cell
! Crystal system ... tetragonal
! M_tot ... 0.000 μB per formula unit
! Symmetry ... I-42d
! Energy of formation from the pure elements ... 1.452 eV/atom
&SYSTEM
  ibrav = 0, nat = 16, ntyp = 3
/
ATOMIC_SPECIES
Cr 52.00 Cr.upf
Hg 200.59 Hg.upf
B 10.81 B.upf
CELL_PARAMETERS angstrom
3.808 0.000 0.000
0.000 3.808 0.000
0.000 0.000 19.232
ATOMIC_POSITIONS crystal
Cr 0.000 0.000 0.000
Cr 0.000 0.500 0.250
Cr 0.500 0.000 0.750
Cr 0.500 0.500 0.500
Hg 0.249 0.250 0.625
Hg 0.250 0.749 0.875
Hg 0.250 0.751 0.375
Hg 0.251 0.250 0.125
Hg 0.749 0.750 0.125
Hg 0.750 0.249 0.375
Hg 0.750 0.251 0.875
Hg 0.751 0.750 0.625
B 0.000 0.000 0.500
B 0.000 0.500 0.750
B 0.500 0.000 0.250
B 0.500 0.500 0.000